Record 1
The following is a GGA-PBEsol calculation of an optimized crystal structure of KTl2Hg, from Alexandria via LeMat-Bulk.

The structure in CIF format:
```
data_KTl2Hg
_chemical_formula_sum 'K1 Tl2 Hg1'
_cell_length_a 4.533
_cell_length_b 4.946
_cell_length_c 5.155
_cell_angle_alpha 90.00
_cell_angle_beta 90.00
_cell_angle_gamma 90.00
_symmetry_space_group_name_H-M 'P m m m'
_symmetry_Int_Tables_number 47
_symmetry_space_group_name_Hall '-P 2 2'
loop_
_atom_site_label
_atom_site_type_symbol
_atom_site_fract_x
_atom_site_fract_y
_atom_site_fract_z
K1 K 0.000 0.000 0.000
Tl1 Tl 0.000 0.500 0.500
Tl2 Tl 0.500 0.000 0.500
Hg1 Hg 0.500 0.500 0.000
```

## Properties
Mass density: 9316 kg/m³
Crystal system: orthorhombic

Record 2
The following is a GGA-PBEsol calculation of an optimized crystal structure of KTlHg2, from Alexandria via LeMat-Bulk.

The structure in CIF format:
```
data_KTlHg2
_chemical_formula_sum 'K2 Tl2 Hg4'
_cell_length_a 7.055
_cell_length_b 7.062
_cell_length_c 4.472
_cell_angle_alpha 90.00
_cell_angle_beta 90.00
_cell_angle_gamma 90.00
_symmetry_space_group_name_H-M 'C m m m'
_symmetry_Int_Tables_number 65
_symmetry_space_group_name_Hall '-C 2 2'
loop_
_atom_site_label
_atom_site_type_symbol
_atom_site_fract_x
_atom_site_fract_y
_atom_site_fract_z
K1 K 0.000 0.000 0.000
Tl1 Tl 0.000 0.500 0.000
Hg1 Hg 0.250 0.250 0.500
```

## Properties
Mass density: 9609 kg/m³
Crystal system: orthorhombic

These records have formation enthalpy at 0 K values of -0.2 -0.5 eV per formula unit, in the order they appear.
These records have polymorph energy (0 for the lowest one) values of 51 35 meV per atom, in the order they appear.